PuTh2Zr | Alexandria | GGA-PBE | optimized geometry; energy relative to the lowest polymorph listed for this composition = 0.006 eV per atom; energy of formation = 101 meV/atom
1.0
-1.6369 3.8523 -1.0243
-0.8574 -1.6276 -4.7511
-4.6343 -1.6010 1.3847
Zr Th Pu
1 2 1
Cartesian
-3.5643 0.3119 -2.1953
-2.3171 -0.8005 0.6924
-0.4287 -0.8138 -2.3755
-0.8184 1.9262 -0.5121

---

YNiHg4 | Alexandria | GGA-PBE | optimized geometry; energy of formation = 181 meV/atom
1.0
0.0000 4.0882 4.0882
4.0882 0.0000 4.0882
4.0882 4.0882 0.0000
Ni Y Hg
1 1 4
Cartesian
6.1324 6.1324 6.1324
0.0000 0.0000 0.0000
5.1075 3.0690 5.1075
3.0690 5.1075 5.1075
3.0690 3.0690 3.0690
5.1075 5.1075 3.0690

---

NbSi2HgTe | Alexandria | GGA-PBE | optimized geometry; raw formation energy = 1.41 eV per atom
1.0
-2.9467 -4.2347 0.5462
1.1842 -0.1614 5.1370
-4.1078 2.9927 1.0409
Nb Si Te Hg
1 2 1 1
Cartesian
0.5921 -0.0807 2.5685
-2.0539 1.4963 0.5205
-1.4733 -2.1173 0.2731
0.0000 0.0000 0.0000
-2.9352 -0.7017 3.3621

---

HgSb2As | Alexandria | GGA-PBE | optimized geometry; raw formation energy = 0.14 eV per atom; energy relative to the lowest polymorph listed for this composition = 0.108 eV per atom
1.0
-1.2606 1.6888 7.5003
2.0199 -0.7067 7.4911
2.3937 3.2524 6.6625
Hg As Sb
1 1 2
Cartesian
2.3818 3.1988 16.3576
1.5831 2.1261 10.8722
0.0009 0.0012 0.0062
0.7637 1.0257 5.2449

---

Sm3Th4S8 | Alexandria | GGA-PBE | optimized geometry; raw formation energy = -1.93 eV per atom
1.0
7.0255 -0.1514 -3.8509
-4.5292 6.6156 -0.2091
-0.1596 0.1309 8.0175
S Sm Th
8 3 4
Cartesian
3.5269 4.8545 1.9533
0.0831 4.9081 -0.0644
2.2536 1.6870 4.0219
-1.1902 1.7405 2.0042
2.3735 1.6366 0.0293
-3.4157 4.9630 1.8874
-1.2732 1.7835 5.9210
-0.0369 4.9585 3.9281
3.4329 -0.0102 2.0833
1.2481 3.2321 -2.0300
1.1683 3.2975 1.9787
0.0000 0.0000 0.0000
-0.0798 0.0654 4.0088
-2.2646 3.3078 -0.1046
3.5127 -0.0757 -1.9255

---

Pr2Sm2Dy2Mg | Alexandria | GGA-PBE | optimized geometry; energy of formation = 90 meV/atom
1.0
3.5540 0.0000 0.0000
-1.7770 5.8123 -1.0797
0.0000 -2.3974 11.5881
Pr Dy Sm Mg
2 2 2 1
Cartesian
0.0000 4.6850 1.7616
1.7770 -1.2701 8.7467
0.0000 1.6497 9.9053
1.7770 1.7653 0.6031
0.0000 1.8749 3.6909
1.7770 1.5400 6.8174
0.0000 -1.1987 5.7940

---

KSn3Ge | Alexandria | GGA-PBE | optimized geometry; energy relative to the lowest polymorph listed for this composition = 0.345 eV per atom; energy of formation = 252 meV/atom
1.0
-1.0662 0.1921 5.4300
4.9196 -2.3149 1.0479
2.3065 5.0263 0.2751
Sn Ge K
3 1 1
Cartesian
2.4598 -1.1574 0.5239
1.1533 2.5131 0.1376
-0.5331 0.0960 2.7150
0.0000 0.0000 0.0000
3.0799 1.4517 3.3765

---

PmMgZn2Au5 | Alexandria | GGA-PBE | optimized geometry; energy of formation = -351 meV/atom
1.0
4.8470 0.0000 0.0000
0.0000 4.8470 0.0000
0.0000 0.0000 7.8054
Zn Au Mg Pm
2 5 1 1
Cartesian
2.4235 2.4235 6.6055
2.4235 2.4235 1.1999
0.0000 2.4235 1.9466
2.4235 0.0000 1.9466
2.4235 2.4235 3.9027
2.4235 0.0000 5.8588
0.0000 2.4235 5.8588
0.0000 0.0000 0.0000
0.0000 0.0000 3.9027

---

Ho2Al6Pd9 | Alexandria | GGA-PBE | optimized geometry; energy of formation = -740 meV/atom
1.0
-5.3944 -0.0624 1.3386
1.5406 -0.1490 -5.3385
0.2370 -11.8989 0.4006
Pd Ho Al
9 2 6
Cartesian
-2.5002 -9.9168 1.0021
-1.7299 -9.9914 -1.6671
0.8104 -2.0878 -2.6015
0.9673 -9.9602 -2.3364
-2.6571 -2.0445 0.7371
-1.8868 -2.1190 -1.9322
0.8888 -6.0240 -2.4689
-2.5787 -5.9807 0.8696
-1.8083 -6.0552 -1.7996
0.0698 -3.5033 0.1179
0.1673 -8.3956 0.2826
-2.9254 -7.9892 -0.6212
-0.6137 -8.0181 -2.8469
-0.7710 -0.1202 -3.1128
-0.6913 -4.1211 -2.9781
-3.0827 -0.0913 -0.8871
-3.0030 -4.0922 -0.7524

---

MgScMn2 | Alexandria | GGA-PBE | optimized geometry; energy of formation = 241 meV/atom
1.0
-1.6241 -0.7641 4.2422
2.0613 -3.0802 2.7352
2.3925 1.4176 3.6721
Mn Sc Mg
2 1 1
Cartesian
0.0000 0.0000 0.0000
0.7074 -0.6067 2.6624
2.1222 -1.8200 7.9871
1.4148 -1.2134 5.3247

---

CoTePb2 | Alexandria | GGA-PBE | optimized geometry; raw formation energy = 0.14 eV per atom; energy relative to the lowest polymorph listed for this composition = 0.057 eV per atom
1.0
5.0862 -0.3781 -0.0452
4.1191 3.0076 -0.0452
2.6073 0.7448 6.1244
Co Pb Te
1 2 1
Cartesian
2.2910 0.6544 0.9652
9.1030 2.6003 4.7030
8.9396 2.5536 0.5872
6.5909 1.8827 2.7050

---

Pm4PrDy4 | Alexandria | GGA-PBE | optimized geometry; energy of formation = 16 meV/atom
1.0
-5.1523 6.4259 -7.0331
-0.6968 -7.8673 5.3742
-0.6751 8.1855 7.0599
Pm Pr Dy
8 2 8
Cartesian
-5.6950 3.2961 3.4989
-5.4901 6.4918 -3.9265
-1.0341 0.2523 9.3275
-2.0286 -1.0471 6.0892
-4.6930 4.5662 6.7282
-4.4956 7.7912 -0.6882
-0.8293 3.4480 1.9021
-1.8313 2.1779 -1.3272
-3.5054 1.0296 1.6783
-3.0188 5.7145 3.7227
-2.0079 6.9792 6.9535
-4.9959 3.1244 -2.7422
-3.5129 9.0976 2.5271
-3.0114 -2.3535 2.8739
-2.5118 2.3266 4.9367
-4.0124 4.4175 0.4643
-4.5163 -0.2351 -1.5525
-1.5283 3.6197 8.1432

---

TaMo2Pb | Alexandria | GGA-PBE | optimized geometry; energy of formation = 431 meV/atom
1.0
-4.0777 -0.3666 1.5177
-0.1001 -2.8546 -0.9586
2.0120 -4.1657 4.3993
Ta Mo Pb
1 2 1
Cartesian
-0.6050 -5.4485 3.3394
1.0516 -3.8861 1.8867
1.8161 -6.6444 3.2743
-1.5609 -1.9384 1.6190

---

SrSc2Ir | Alexandria | GGA-PBE | optimized geometry; energy relative to the lowest polymorph listed for this composition = 0.123 eV per atom; energy of formation = -242 meV/atom
1.0
-3.0078 3.1803 -6.5738
-4.9299 -2.0261 -5.8281
2.1826 1.1406 7.5040
Sc Ir Sr
2 1 1
Cartesian
-0.7870 0.1144 -1.2296
-2.3302 2.4393 -2.5310
-3.2458 -0.1705 -2.0871
-3.3609 0.4887 -5.2511

---

TmSi2Au6 | Alexandria | GGA-PBE | optimized geometry; raw formation energy = -0.31 eV per atom
1.0
-3.8359 -1.3204 1.6921
1.9475 -0.6845 3.8806
-1.7656 8.0945 2.3138
Au Si Tm
6 2 1
Cartesian
-0.8828 4.0473 1.1569
-1.8270 3.0448 3.9433
-3.2143 5.2832 2.5450
-0.3226 5.6011 3.6392
0.5046 1.8089 2.5552
-2.3871 1.4909 1.4610
-1.1803 0.0802 3.0959
-2.4736 6.0094 4.7907
0.0000 0.0000 0.0000

---

Tb7Er6 | Alexandria | GGA-PBE | optimized geometry; energy of formation = 261 meV/atom
1.0
6.3565 0.0000 1.2770
3.0500 5.5769 1.2770
0.8734 0.5178 12.1112
Er Tb
6 7
Cartesian
1.8734 1.1107 7.1337
8.4064 4.9841 7.5315
7.1452 4.2363 13.8097
1.1854 0.7028 10.5582
9.0944 5.3920 4.1070
3.1346 1.8585 0.8554
4.0710 2.4136 4.2714
6.2088 3.6811 10.3938
5.6242 5.2538 4.9217
7.3081 2.4136 4.9217
2.9717 3.6811 9.7435
5.1399 3.0474 7.3326
4.6556 0.8410 9.7435

---

Ti2BF | Alexandria | GGA-PBE | optimized geometry; raw formation energy = -0.76 eV per atom; energy relative to the lowest polymorph listed for this composition = 0.000 eV per atom
1.0
2.9971 1.5555 2.1336
-0.2943 3.7117 1.4461
-0.4373 0.5845 3.9270
Ti B F
2 1 1
Cartesian
0.5664 1.4629 1.8767
1.6991 4.3888 5.6300
0.0000 0.0000 0.0000
1.1327 2.9259 3.7534

---

PrSm7Y2 | Alexandria | GGA-PBE | optimized geometry; energy relative to the lowest polymorph listed for this composition = 0.653 eV per atom; energy of formation = 667 meV/atom
1.0
5.6000 0.0000 0.0000
0.0000 9.4863 -0.7201
0.0000 -4.9224 8.1412
Sm Pr Y
7 1 2
Cartesian
0.0000 -1.9003 6.2827
2.8000 5.3592 5.1129
2.8000 -0.7953 2.3082
2.8000 2.4187 0.3316
2.8000 2.2819 3.7106
2.8000 2.1452 7.0895
0.0000 6.4642 1.1384
0.0000 0.0000 0.0000
2.8000 5.2469 1.8871
2.8000 -0.6830 5.5340

---

ErTm3Rh8 | Alexandria | GGA-PBE | optimized geometry; energy of formation = -747 meV/atom
1.0
5.3052 0.0000 0.0000
-2.6526 4.5944 0.0000
0.0000 0.0000 8.6670
Tm Rh Er
3 8 1
Cartesian
2.6526 1.5315 0.5730
2.6526 1.5315 3.7569
0.0000 0.0000 8.0953
0.0000 3.0629 8.6666
3.9571 2.2846 6.5031
0.0000 3.0629 4.3325
0.0000 1.5060 2.1644
-1.3483 3.8414 2.1644
2.6526 0.0252 6.5031
1.3481 2.2846 6.5031
1.3483 3.8414 2.1644
0.0000 0.0000 4.9094

---

PuSF | Alexandria | GGA-PBE | optimized geometry; raw formation energy = -2.47 eV per atom
1.0
3.8337 0.0000 0.0000
0.0000 4.0483 0.0000
0.0000 -2.0242 3.5060
S Pu F
1 1 1
Cartesian
2.5557 2.0242 1.1687
0.6395 0.0000 0.0000
0.6384 0.0000 2.3373

---

Ba2InCu2 | Alexandria | GGA-PBE | optimized geometry; energy of formation = -39 meV/atom
1.0
-3.4803 -4.4969 -2.8175
1.9759 -4.2253 4.3030
-3.8043 -3.4423 3.0464
Cu In Ba
2 1 2
Cartesian
-1.6746 -4.0834 1.4389
-3.6342 -8.0810 3.0930
0.0000 0.0000 0.0000
-4.0184 -6.1501 0.4858
-1.2903 -6.0143 4.0461

---

LiCa3Dy2Te6 | Alexandria | GGA-PBE | optimized geometry; raw formation energy = -1.46 eV per atom
1.0
7.6508 0.0016 -0.0013
-3.8222 6.6277 -0.0013
-1.2786 -2.2138 7.2428
Te Ca Dy Li
6 3 2 1
Cartesian
0.0226 4.4167 5.5058
2.5275 -0.0013 1.7343
-1.2642 2.1886 1.7343
2.5619 4.4359 1.7438
3.8143 2.2268 5.5058
-0.0118 -0.0205 5.4963
1.2750 2.2077 3.6201
5.0836 0.0081 3.6201
-2.5335 4.4073 3.6201
0.0083 4.4154 -0.0013
3.8203 2.2138 -0.0013
0.0000 0.0000 0.0000

---

Ce2Zn3Ag2 | Alexandria | GGA-PBE | optimized geometry; energy relative to the lowest polymorph listed for this composition = 0.016 eV per atom; energy of formation = -180 meV/atom
1.0
-3.3579 2.3237 0.6158
-3.3710 -3.2402 -6.1557
-2.0169 -7.9917 5.3111
Ce Zn Ag
4 6 4
Cartesian
-6.7636 -5.9924 -0.4224
-2.9830 -3.2705 -3.9255
-1.9822 -2.9158 0.1935
-5.7628 -5.6377 3.6966
-4.5256 -3.3513 1.8155
-2.3624 0.1414 0.4317
-3.5009 -0.9529 -1.6473
-5.2449 -7.9553 1.4184
-6.3834 -9.0496 -0.6605
-4.2203 -5.5569 -2.0444
-2.4963 -4.4492 3.1766
-4.9338 -3.1943 -1.0028
-6.2495 -4.4590 -3.4055
-3.8121 -5.7139 0.7740

---

MnIn2Tc | Alexandria | GGA-PBE | optimized geometry; energy relative to the lowest polymorph listed for this composition = 0.264 eV per atom; energy of formation = 460 meV/atom
1.0
4.6401 0.0000 0.0000
2.3201 4.0185 0.0000
2.3201 1.3395 3.7887
In Mn Tc
2 1 1
Cartesian
0.0000 0.0000 0.0000
2.3201 1.3395 0.9472
4.6401 2.6790 1.8943
6.9602 4.0185 2.8415